Density functional theory data (GGA+U) for a relaxed structure of NbCoOs2F.

Cell: 4.375 4.375 4.666 Å, 90.00 90.00 90.00°
Atoms (fractional coordinates):
1 Nb 0.000 0.000 0.000
2 Co 0.000 0.000 0.500
3 Os 0.000 0.500 0.500
4 Os 0.500 0.000 0.500
5 F 0.500 0.500 0.000

Output
- Volume: 89 Å³ per cell
- E_tot: -31.4 eV per formula unit
- Density: 10.2 g/cm3
- Size of the total moment: 0.33 μB/cell